This record from the Alexandria database describes a relaxed RbCd2HgAu crystal. The functional is PBE.

Crystal system: tetragonal
Magnetization (μB/f.u.): 0.000
Energy of formation from the pure elements (eV/f.u.): -0.4
DFT total energy (eV per atom): -1.353

abc: 5.3985 5.3985 6.4747
angles: 90.00 90.00 90.00
Last column: nearest neighbours and their distance in Å.
Positions (direct):
1 Hg 0.5000 0.5000 0.5000  4 Rb 3.82, 8 Cd 4.22
2 Rb 0.0000 0.0000 0.5000  2 Au 3.24
3 Au 0.0000 0.0000 0.0000  4 Cd 2.70
4 Cd 0.0000 0.5000 0.0000  2 Au 2.70
5 Cd 0.5000 0.0000 0.0000  2 Au 2.70